Entry 1:
5
Lattice="-3.549 -2.108 -1.655 2.377 -1.096 -3.702 1.321 -3.765 1.964" Properties=species:S:1:pos:R:3 comment="Re2NiSnRu PBE-GGA relaxed" e_form_ev_per_atom=1.64 sg=P4/mmm energy_ev_per_atom=-7.155 magnetic_moment_mub_per_cell=1.8 pbc="T T T"
Ni 0.000 0.000 0.000
Ru 0.075 -3.485 -1.697
Re -1.774 -1.054 -0.827
Re 0.661 -1.882 0.982
Sn 1.189 -0.548 -1.851

Entry 2:
16
Lattice="6.210 0.369 -0.294 -1.460 6.047 -0.294 -2.311 -3.121 7.016" Properties=species:S:1:pos:R:3 comment="CaTlIO5 PBE-GGA relaxed" sg=C2/c energy_ev_per_atom=-4.879 magnetic_moment_mub_per_cell=0.0 formation_energy_uncorrected_ev_per_atom=-1.04 pbc="T T T"
O 3.931 -1.568 4.968
O 2.913 2.508 2.589
O -0.386 3.677 3.796
O 2.046 1.338 0.331
O 4.785 2.265 0.288
O 0.393 1.957 6.097
O -1.492 4.862 1.460
O -0.473 0.786 3.839
O -2.346 1.029 6.140
O 2.825 -0.383 2.632
Ca 2.115 -0.224 4.968
Ca 0.324 3.518 1.460
Tl -1.155 -1.561 3.508
Tl 0.000 0.000 0.000
I 3.507 1.162 1.460
I -1.068 2.133 4.968

Entry 3:
10
Lattice="-1.290 2.109 3.663 3.078 -2.155 2.325 7.083 7.901 -2.054" Properties=species:S:1:pos:R:3 comment="Ca2Ga3GeAu4 PBE-GGA relaxed" e_form_ev_per_atom=-0.52 sg=P-4m2 energy_ev_per_atom=-3.605 magnetic_moment_mub_per_cell=0.0 pbc="T T T"
Au 4.107 1.787 0.418
Au 0.894 -0.023 2.994
Au 3.870 6.091 0.522
Au 0.000 0.000 0.000
Ca 1.116 3.019 1.320
Ca 6.860 4.859 -0.381
Ga 5.520 7.933 0.043
Ga 2.456 -0.054 0.897
Ga 3.541 3.951 -1.027
Ge 4.435 3.928 1.967

Entry 4:
9
Lattice="-0.917 -1.388 -5.274 1.098 -5.134 -1.739 -5.514 -3.843 -0.929" Properties=species:S:1:pos:R:3 comment="HgS2O6 PBE-GGA relaxed" sg=R3 energy_ev_per_atom=-5.204 magnetic_moment_mub_per_cell=0.0 formation_energy_uncorrected_ev_per_atom=-0.95 pbc="T T T"
Hg 0.048 -2.178 -2.335
S -0.907 -4.656 -4.416
S -4.365 -7.883 -5.865
O -4.231 -6.534 -5.283
O -4.606 -3.767 -3.490
O -1.758 -3.960 -5.400
O -0.898 -6.124 -4.561
O -1.090 -4.190 -3.028
O -3.422 -6.521 -2.065

Entry 5:
5
Lattice="5.251 0.000 0.000 0.000 5.251 0.000 0.000 0.000 5.251" Properties=species:S:1:pos:R:3 comment="Zr3CdBi PBE-GGA relaxed" e_form_ev_per_atom=0.78 sg=Pm-3m polymorph_energy_mev_per_atom=917 energy_ev_per_atom=-5.304 magnetic_moment_mub_per_cell=0.0 pbc="T T T"
Bi 2.626 2.626 2.626
Zr 0.000 0.000 2.626
Zr 0.000 2.626 0.000
Zr 2.626 0.000 0.000
Cd 0.000 0.000 0.000

Entry 6:
12
Lattice="-3.070 2.764 -2.843 -4.396 -0.330 4.426 3.389 5.087 1.286" Properties=species:S:1:pos:R:3 comment="SrSi3Ni2 PBE-GGA relaxed" sg=Cmcm energy_ev_per_atom=-5.396 magnetic_moment_mub_per_cell=0.0 formation_energy_uncorrected_ev_per_atom=-0.48 pbc="T T T"
Si -2.384 2.461 -1.666
Si -1.692 5.060 4.535
Si 0.038 5.181 2.784
Si -4.114 2.341 0.085
Si -3.022 3.051 4.019
Si -1.054 4.470 -1.149
Ni 0.360 5.429 0.468
Ni 1.895 4.047 1.889
Ni -4.436 2.092 2.402
Ni -2.901 0.710 3.823
Sr -2.959 5.177 1.595
Sr -1.117 2.344 1.275

Entry 7:
4
Lattice="-2.103 2.855 -2.525 -3.769 1.722 1.334 1.545 6.816 2.668" Properties=species:S:1:pos:R:3 comment="NdPuSbSe PBE-GGA relaxed" sg=R3m energy_ev_per_atom=-7.982 magnetic_moment_mub_per_cell=5.6 formation_energy_uncorrected_ev_per_atom=-1.31 pbc="T T T"
Se -0.524 3.692 0.858
Sb -2.636 9.466 1.641
Pu -5.233 5.543 -0.632
Nd -1.621 6.517 1.213

Entry 8:
5
Lattice="-3.168 -3.650 0.517 2.521 -1.648 3.815 -2.969 3.041 3.275" Properties=species:S:1:pos:R:3 comment="BeCuSb2I PBE-GGA relaxed" sg=P4/mmm polymorph_energy_mev_per_atom=0 energy_ev_per_atom=-2.765 magnetic_moment_mub_per_cell=0.0 formation_energy_uncorrected_ev_per_atom=0.76 pbc="T T T"
Cu -1.808 -1.128 3.804
Be 0.000 0.000 0.000
Sb 1.260 -0.824 1.908
Sb -1.584 -1.825 0.258
I -1.485 1.520 1.638